Y12Er6Tm | PBE-GGA | optimized geometry

Cell and atoms, written as POSCAR:
```
Y12Er6Tm
1.0
5.910 3.412 5.100
-5.910 3.412 5.100
0.000 -6.824 5.100
Y Er Tm
12 6 1
Cartesian
-1.119 -1.734 2.908
-0.943 1.836 2.908
-1.387 -1.531 6.347
2.061 -0.102 2.908
-2.020 0.436 8.955
-0.632 1.967 6.347
0.632 -1.967 8.955
2.020 -0.436 6.347
-2.061 0.102 12.393
1.387 1.531 8.955
0.943 -1.836 12.393
1.119 1.734 12.393
-3.557 0.945 5.328
0.960 -3.553 5.328
-2.597 -2.608 9.974
2.597 2.608 5.328
-0.960 3.553 9.974
3.557 -0.945 9.974
0.000 0.000 0.000
```

Calculated values
- N(E_F): 1.8515 states/eV per atom
- Symmetry: R-3 (148)
- Crystal system: trigonal
- Energy of formation from the pure elements: 153 meV/atom
- E_tot: -5.6059 eV per atom
- Distance to the lowest polymorph of the same formula: 0.0000 eV/atom



YEr4Tm6 | PBE-GGA | optimized geometry

Cell and atoms, written as POSCAR:
```
YEr4Tm6
1.0
2.784 -4.782 0.000
2.784 4.782 0.000
0.000 0.000 25.349
Y Er Tm
2 8 12
Cartesian
2.784 3.120 19.012
2.784 -3.120 6.337
2.784 3.211 1.057
2.784 3.211 11.617
2.784 0.079 3.083
2.784 0.079 9.591
2.784 -0.079 15.757
2.784 -0.079 22.266
2.784 -3.211 13.731
2.784 -3.211 24.292
2.784 3.259 4.594
2.784 3.259 8.080
2.784 3.122 15.286
2.784 3.122 22.737
2.784 0.073 6.337
2.784 0.000 0.000
2.784 0.000 12.674
2.784 -0.073 19.012
2.784 -3.122 2.611
2.784 -3.122 10.063
2.784 -3.259 17.268
2.784 -3.259 20.755
```

Calculated values
- N(E_F): 1.7151 states/eV per atom
- Symmetry: Cmcm (63)
- Crystal system: orthorhombic
- Energy of formation from the pure elements: 128 meV/atom
- E_tot: -4.5576 eV per atom
- Distance to the lowest polymorph of the same formula: 0.0000 eV/atom



Y5Er3Tm3 | PBE-GGA | optimized geometry

Cell and atoms, written as POSCAR:
```
Y5Er3Tm3
1.0
9.627 0.000 0.000
-4.813 8.337 0.000
0.000 0.000 5.419
Y Er Tm
5 3 3
Cartesian
-1.219 2.111 0.000
2.438 0.000 0.000
0.000 5.558 0.000
4.813 2.779 0.000
3.595 6.226 0.000
-2.159 3.740 2.710
4.318 0.000 2.710
2.654 4.597 2.710
-2.999 5.194 0.000
1.815 3.143 0.000
5.998 0.000 0.000
```

Calculated values
- N(E_F): 1.3751 states/eV per atom
- Symmetry: P-62m (189)
- Crystal system: hexagonal
- Energy of formation from the pure elements: 834 meV/atom
- E_tot: -4.5683 eV per atom



Y6ErTm | PBE-GGA | optimized geometry

Cell and atoms, written as POSCAR:
```
Y6ErTm
1.0
5.622 -2.512 0.000
5.622 2.512 0.000
-4.482 0.000 8.976
Y Er Tm
6 1 1
Cartesian
10.122 0.000 2.246
-3.360 0.000 6.731
2.251 0.000 1.124
0.011 0.000 5.609
6.751 0.000 3.368
4.511 0.000 7.852
5.622 0.000 0.000
3.381 0.000 4.488
```

Calculated values
- N(E_F): 1.4893 states/eV per atom
- Symmetry: C2/m (12)
- Crystal system: monoclinic
- Energy of formation from the pure elements: 26 meV/atom
- E_tot: -5.9513 eV per atom
- Distance to the lowest polymorph of the same formula: 0.0000 eV/atom



Y6Er3Tm2 | PBE-GGA | optimized geometry

Cell and atoms, written as POSCAR:
```
Y6Er3Tm2
1.0
1.771 1.022 31.722
-1.771 1.022 31.722
0.000 -2.045 31.722
Y Er Tm
6 3 2
Cartesian
0.000 0.000 8.645
0.000 0.000 17.329
0.000 0.000 34.601
0.000 0.000 60.565
0.000 0.000 77.838
0.000 0.000 86.521
0.000 0.000 0.000
0.000 0.000 25.962
0.000 0.000 69.205
0.000 0.000 43.241
0.000 0.000 51.926
```

Calculated values
- N(E_F): 1.5814 states/eV per atom
- Symmetry: R-3m (166)
- Crystal system: trigonal
- Energy of formation from the pure elements: 29 meV/atom
- E_tot: -5.5544 eV per atom



Y4Er5Tm3 | PBE-GGA | optimized geometry

Cell and atoms, written as POSCAR:
```
Y4Er5Tm3
1.0
7.964 -2.915 0.000
7.964 2.915 0.000
-4.163 0.000 8.237
Y Er Tm
4 5 3
Cartesian
-0.547 0.000 3.610
-0.249 0.000 7.236
12.014 0.000 1.001
12.312 0.000 4.627
0.000 0.000 0.000
2.653 0.000 5.074
5.562 0.000 2.457
6.203 0.000 5.780
9.112 0.000 3.163
2.380 0.000 1.932
7.964 0.000 0.000
9.385 0.000 6.305
```

Calculated values
- N(E_F): 1.6900 states/eV per atom
- Symmetry: C2/m (12)
- Crystal system: monoclinic
- Energy of formation from the pure elements: 246 meV/atom
- E_tot: -4.9280 eV per atom